{
  "formula": "K3CuRe2O9",
  "functional": "PBE",
  "state": "relaxed",
  "raw_formation_energy_ev_per_atom": -1.56,
  "e_tot_ev_per_atom": -6.689,
  "cell": [[5.662, 0.000, 0.000], [-2.831, 4.904, 0.000], [0.000, 0.000, 7.057]],
  "species": ["K", "O", "O", "O", "K", "O", "O", "O", "Re", "O", "Cu", "O", "K", "Re", "O"],
  "fractional_positions": [[0.667, 0.333, 0.334], [0.648, 0.824, 0.310], [0.176, 0.824, 0.310], [0.000, 0.500, 0.000], [0.333, 0.667, 0.666], [0.352, 0.176, 0.690], [0.500, 0.500, 0.000], [0.176, 0.352, 0.310], [0.333, 0.667, 0.175], [0.824, 0.648, 0.690], [0.000, 0.000, 0.500], [0.500, 0.000, 0.000], [0.000, 0.000, 0.000], [0.667, 0.333, 0.825], [0.824, 0.176, 0.690]]
}

{
  "formula": "Mg3CdI8",
  "functional": "PBE",
  "state": "relaxed",
  "raw_formation_energy_ev_per_atom": -0.92,
  "e_tot_ev_per_atom": -2.432,
  "cell": [[-5.816, 2.172, 5.761], [3.474, -7.723, 0.193], [5.143, 7.070, 2.527]],
  "species": ["Mg", "I", "I", "I", "Mg", "I", "I", "I", "Mg", "Cd", "I", "I"],
  "fractional_positions": [[0.000, 0.500, 0.000], [0.755, 0.510, 0.778], [0.245, 0.979, 0.222], [0.734, 0.979, 0.222], [0.500, 0.000, 0.000], [0.266, 0.021, 0.778], [0.755, 0.021, 0.778], [0.260, 0.520, 0.782], [0.500, 0.500, 0.000], [0.000, 0.000, 0.000], [0.245, 0.490, 0.222], [0.740, 0.480, 0.218]]
}